No. 1
A plane-wave DFT calculation with PBE was carried out for a relaxed LiLaSmRe crystal.

Cell: 7.1655 7.1655 7.1655 Å, 90.00 90.00 90.00°
Closest atoms and distances in Å follow each position.
Space group F-43m (No. 216)
Unique sites:
Li  0.0000  0.0000  0.0000 x4  4 La 3.10, 4 Sm 3.10
La  0.2500  0.2500  0.7500 x4  4 Re 3.10, 4 Li 3.10
Sm  0.2500  0.2500  0.2500 x4  4 Li 3.10, 4 Re 3.10
Re  0.0000  0.0000  0.5000 x4  4 Sm 3.10, 4 La 3.10

Results
Final energy, eV/atom: -5.853
Calculated formation energy, eV per atom: 0.15
Calculated density, g cm⁻³: 8.709
Total magnetic moment, Bohr magnetons per cell: 0.000

---

No. 2
A plane-wave DFT calculation with PBE was carried out for a relaxed LiLaThRe crystal.

Cell: 7.2499 7.2499 7.2499 Å, 90.00 90.00 90.00°
Closest atoms and distances in Å follow each position.
Space group F-43m (No. 216)
Unique sites:
Li  0.0000  0.0000  0.0000 x4  4 Th 3.14, 4 La 3.14
La  0.2500  0.2500  0.7500 x4  4 Li 3.14, 4 Re 3.14
Th  0.2500  0.2500  0.2500 x4  4 Li 3.14, 4 Re 3.14
Re  0.0000  0.0000  0.5000 x4  4 La 3.14, 4 Th 3.14

Results
Final energy, eV/atom: -6.545
Calculated formation energy, eV per atom: 0.13
Calculated density, g cm⁻³: 9.833
Total magnetic moment, Bohr magnetons per cell: 0.000

---

No. 3
A plane-wave DFT calculation with PBE was carried out for a relaxed LiLaTlRe2 crystal.

Cell: 4.9670 4.9670 5.0308 Å, 90.00 90.00 90.00°
Closest atoms and distances in Å follow each position.
Space group P4/mmm (No. 123)
Unique sites:
Li  0.0000  0.0000  0.0000 x1  2 La 2.52
La  0.0000  0.0000  0.5000 x1  4 Re 2.48, 2 Li 2.52
Tl  0.5000  0.5000  0.0000 x1  4 Li 3.51, 8 Re 3.53
Re  0.0000  0.5000  0.5000 x2  2 La 2.48

Results
Final energy, eV/atom: -4.831
Calculated formation energy, eV per atom: 1.99
Calculated density, g cm⁻³: 9.668
Total magnetic moment, Bohr magnetons per cell: 2.164